[1]
InCuAu2: optimized geometry, PBE.

Properties
- D(E_F) (states/eV/cell) = 0.86
- E (eV/atom) = -3.32
- spin magnetization (μB/cell) = 0.000
- ΔE_f (kJ per mole of atoms) = 2.9

Lattice parameters (Å, degrees): 7.8039 7.8039 7.8039 25.43 25.43 25.43
Last column: nearest neighbours and their distance in Å.
Positions (direct):
Au: 0.9921 0.9921 0.9921  3 Cu 2.62, 3 In 2.86
In: 0.7500 0.7500 0.7500  6 Au 2.86
Cu: 0.2500 0.2500 0.2500  6 Au 2.62
Au: 0.5079 0.5079 0.5079  3 Cu 2.62, 3 In 2.86

=====

[2]
InCu2Au6: optimized geometry, PBE.

Properties
- D(E_F) (states/eV/cell) = 1.74
- E (eV/atom) = -3.45
- spin magnetization (μB/cell) = 0.000
- energy above the lowest structure with this stoichiometry (meV/atom) = 0.0
- ΔE_f (kJ per mole of atoms) = -4.5

Lattice parameters (Å, degrees): 4.0467 4.9616 8.9951 72.05 77.00 65.93
Last column: nearest neighbours and their distance in Å.
Positions (direct):
Cu: 0.6784 0.3829 0.2603  10 Au 2.79-3.10, 2 In 3.05
Au: 0.6710 0.0450 0.6130  4 Cu 2.83-3.10, 3 In 2.88-2.89, 5 Au 2.91-2.93
In: 0.0000 0.5000 0.5000  8 Au 2.85-2.89, 4 Cu 3.05
Au: 0.6653 0.7238 0.9456  3 Cu 2.81-2.83, 9 Au 2.86-2.96
Cu: 0.3216 0.6171 0.7397  10 Au 2.79-3.10, 2 In 3.05
Au: 0.3347 0.2762 0.0544  3 Cu 2.81-2.83, 9 Au 2.86-2.96
Au: 0.9955 0.1854 0.8237  3 Cu 2.79-2.84, 1 In 2.85, 7 Au 2.89-2.96
Au: 0.0045 0.8146 0.1763  3 Cu 2.79-2.84, 1 In 2.85, 7 Au 2.89-2.96
Au: 0.3290 0.9550 0.3870  4 Cu 2.83-3.10, 3 In 2.88-2.89, 5 Au 2.91-2.93

=====

[3]
InCu2Au5: optimized geometry, PBE.

Properties
- D(E_F) (states/eV/cell) = 1.26
- E (eV/atom) = -3.47
- spin magnetization (μB/cell) = 0.000
- energy above the lowest structure with this stoichiometry (meV/atom) = 0.0
- ΔE_f (kJ per mole of atoms) = -5.5

Lattice parameters (Å, degrees): 5.7551 5.7551 5.7551 118.53 118.53 92.57
Last column: nearest neighbours and their distance in Å.
Positions (direct):
Cu: 0.7777 0.2779 0.4999  10 Au 2.88-2.94, 2 In 2.94
Au: 0.2780 0.7777 0.0000  2 In 2.88, 4 Cu 2.88, 6 Au 2.88-2.94
Au: 0.7778 0.7778 0.4999  4 Cu 2.88, 2 In 2.88, 6 Au 2.88-2.94
Au: 0.7779 0.2780 0.0000  4 Cu 2.88, 2 In 2.88, 6 Au 2.88-2.94
Au: 0.2780 0.2780 0.5001  4 Cu 2.88, 2 In 2.88, 6 Au 2.88-2.94
In: 0.7781 0.7781 0.0000  8 Au 2.88, 4 Cu 2.94
Cu: 0.2777 0.7779 0.5001  10 Au 2.88-2.94, 2 In 2.94
Au: 0.2779 0.2777 0.0000  8 Au 2.88, 4 Cu 2.94

=====

[4]
InCu4Au7: optimized geometry, PBE.

Properties
- D(E_F) (states/eV/cell) = 3.35
- E (eV/atom) = -3.40
- spin magnetization (μB/cell) = 0.000
- ΔE_f (kJ per mole of atoms) = 10.1

Lattice parameters (Å, degrees): 5.0178 8.2513 6.1025 79.55 65.72 72.30
Last column: nearest neighbours and their distance in Å.
Positions (direct):
Cu: 0.4340 0.7711 0.3609  8 Au 2.58-2.88, 1 Cu 2.74
In: 0.0000 0.0000 0.0000  2 Au 2.51
Au: 0.6450 0.4430 0.2670  5 Cu 2.58-2.84, 2 Au 2.77-2.80
Cu: 0.5660 0.2289 0.6391  8 Au 2.58-2.88, 1 Cu 2.74
Au: 0.2125 0.1001 0.4748  4 Cu 2.65-2.88, 2 Au 2.74-2.80
Cu: 0.7146 0.6729 0.8978  6 Au 2.63-2.84, 1 Cu 2.74
Au: 0.9270 0.3507 0.7954  3 Cu 2.63-2.84, 2 Au 2.74-2.77, 1 In 2.91
Au: 0.3550 0.5570 0.7330  5 Cu 2.58-2.84, 2 Au 2.77-2.80
Au: 0.5000 0.0000 0.0000  2 In 2.51, 4 Cu 2.61-2.67, 2 Au 2.80
Cu: 0.2854 0.3271 0.1022  6 Au 2.63-2.84, 1 Cu 2.74
Au: 0.0730 0.6493 0.2046  3 Cu 2.63-2.84, 2 Au 2.74-2.77, 1 In 2.91
Au: 0.7875 0.8999 0.5252  4 Cu 2.65-2.88, 2 Au 2.74-2.80

=====

[5]
InCuAu4: optimized geometry, PBE.

Properties
- D(E_F) (states/eV/cell) = 4.77
- E (eV/atom) = -3.36
- spin magnetization (μB/cell) = 0.000
- energy above the lowest structure with this stoichiometry (meV/atom) = 0.0
- ΔE_f (kJ per mole of atoms) = -3.8

Lattice parameters (Å, degrees): 5.1982 5.6808 7.4100 99.43 90.00 90.00
Last column: nearest neighbours and their distance in Å.
Positions (direct):
Au: 0.0970 0.0854 0.8115  2 Cu 2.74-2.81, 5 Au 2.86-3.01, 2 In 2.92-2.93
Cu: 0.9076 0.2500 0.5000  10 Au 2.74-3.00, 2 Cu 3.00
Au: 0.6006 0.9246 0.6591  7 Au 2.82-3.03, 3 Cu 2.84-3.00, 2 In 2.88-3.08
Au: 0.9030 0.9146 0.1885  2 Cu 2.74-2.81, 5 Au 2.86-3.01, 2 In 2.92-2.93
Au: 0.6006 0.5754 0.3409  7 Au 2.82-3.03, 3 Cu 2.84-3.00, 2 In 2.88-3.08
In: 0.3789 0.7500 0.0000  10 Au 2.88-3.13, 2 In 3.11
Au: 0.9030 0.5854 0.8115  2 Cu 2.74-2.81, 5 Au 2.86-3.01, 2 In 2.92-2.93
Cu: 0.0924 0.7500 0.5000  10 Au 2.74-3.00, 2 Cu 3.00
Au: 0.3994 0.0754 0.3409  7 Au 2.82-3.03, 3 Cu 2.84-3.00, 2 In 2.88-3.08
Au: 0.3994 0.4246 0.6591  7 Au 2.82-3.03, 3 Cu 2.84-3.00, 2 In 2.88-3.08
In: 0.6211 0.2500 0.0000  10 Au 2.88-3.13, 2 In 3.11
Au: 0.0970 0.4146 0.1885  2 Cu 2.74-2.81, 5 Au 2.86-3.01, 2 In 2.92-2.93

=====

[6]
In2Cu5Au5: optimized geometry, PBE.

Properties
- D(E_F) (states/eV/cell) = 3.22
- E (eV/atom) = -3.58
- spin magnetization (μB/cell) = 0.000
- ΔE_f (kJ per mole of atoms) = -5.4

Lattice parameters (Å, degrees): 3.7067 6.6573 9.4382 117.39 90.00 106.16
Last column: nearest neighbours and their distance in Å.
Positions (direct):
Cu: 0.1778 0.3557 0.5063  5 Cu 2.57-2.70, 3 Au 2.73-2.74
Cu: 0.8222 0.6443 0.4937  5 Cu 2.57-2.70, 3 Au 2.73-2.74
In: 0.0937 0.1875 0.7584  7 Au 2.79-2.90, 4 Cu 2.88-3.04
Au: 0.4120 0.8241 0.7370  7 Cu 2.72-2.86, 2 Au 2.83-2.95, 2 In 2.90
Au: 0.6628 0.3256 0.0249  4 Cu 2.71-2.80, 3 In 2.79-2.90, 1 Au 2.83
Au: 0.5880 0.1759 0.2630  7 Cu 2.72-2.86, 2 Au 2.83-2.95, 2 In 2.90
Au: 0.3372 0.6744 0.9751  4 Cu 2.71-2.80, 3 In 2.79-2.90, 1 Au 2.83
Cu: 0.0000 0.0000 0.0000  8 Au 2.71-2.86, 2 Cu 3.00
Au: 0.5000 0.0000 0.5000  4 In 2.83, 6 Cu 2.88-2.91, 2 Au 2.95
Cu: 0.2486 0.4972 0.2786  3 Cu 2.57-2.70, 5 Au 2.72-2.88
In: 0.9063 0.8125 0.2416  7 Au 2.79-2.90, 4 Cu 2.88-3.04
Cu: 0.7514 0.5028 0.7214  3 Cu 2.57-2.70, 5 Au 2.72-2.88

=====

[7]
InCuAu14: optimized geometry, PBE.

Properties
- D(E_F) (states/eV/cell) = 4.70
- E (eV/atom) = -3.31
- spin magnetization (μB/cell) = 0.000
- ΔE_f (kJ per mole of atoms) = -1.5

Lattice parameters (Å, degrees): 5.9098 5.9098 9.5417 90.00 90.00 119.74
Last column: nearest neighbours and their distance in Å.
Positions (direct):
Au: 0.2070 0.7930 0.0000  12 Au 2.95-2.99
Au: 0.0414 0.4543 0.5000  8 Au 2.91-2.99, 2 In 2.94-2.97, 2 Cu 2.95-2.96
Au: 0.8698 0.6227 0.2555  1 Cu 2.87, 1 In 2.90, 10 Au 2.91-3.01
Au: 0.7061 0.2939 0.0000  12 Au 2.92-2.98
Au: 0.3773 0.1302 0.2555  1 Cu 2.87, 1 In 2.90, 10 Au 2.91-3.01
Au: 0.3773 0.1302 0.7445  1 Cu 2.87, 1 In 2.90, 10 Au 2.91-3.01
Au: 0.3767 0.6233 0.7454  1 Cu 2.90, 11 Au 2.91-2.99
Au: 0.7068 0.7906 0.0000  12 Au 2.92-2.98
Au: 0.3767 0.6233 0.2546  1 Cu 2.90, 11 Au 2.91-2.99
Cu: 0.5436 0.4564 0.5000  10 Au 2.87-2.96, 2 In 2.97
Au: 0.8698 0.6227 0.7445  1 Cu 2.87, 1 In 2.90, 10 Au 2.91-3.01
Au: 0.5457 0.9586 0.5000  8 Au 2.91-2.99, 2 In 2.94-2.97, 2 Cu 2.95-2.96
Au: 0.8747 0.1253 0.7529  11 Au 2.92-2.97, 1 In 2.96
In: 0.0428 0.9572 0.5000  10 Au 2.90-2.97, 2 Cu 2.97
Au: 0.8747 0.1253 0.2471  11 Au 2.92-2.97, 1 In 2.96
Au: 0.2094 0.2932 0.0000  12 Au 2.92-2.98

=====

[8]
In2CuAu6: optimized geometry, PBE.

Properties
- D(E_F) (states/eV/cell) = 4.09
- E (eV/atom) = -3.35
- spin magnetization (μB/cell) = 0.000
- energy above the lowest structure with this stoichiometry (meV/atom) = 0.0
- ΔE_f (kJ per mole of atoms) = -9.6

Lattice parameters (Å, degrees): 4.1004 8.9699 8.9701 90.00 90.01 90.00
Last column: nearest neighbours and their distance in Å.
Positions (direct):
In: 0.5000 0.1733 0.3267  10 Au 2.91-3.04, 2 Cu 3.01
Au: 0.0000 0.3285 0.5020  3 In 2.91-2.94, 8 Au 2.92-3.17, 1 Cu 2.95
In: 0.5000 0.8267 0.6733  10 Au 2.91-3.04, 2 Cu 3.01
In: 0.0000 0.6733 0.1733  10 Au 2.91-3.04, 2 Cu 3.01
Au: 0.5000 0.1715 0.0020  3 In 2.91-2.94, 8 Au 2.92-3.17, 1 Cu 2.95
Au: 0.5000 0.4980 0.3285  3 In 2.91-2.93, 8 Au 2.92-3.17, 1 Cu 2.95
Au: 0.5000 0.5020 0.6715  3 In 2.91-2.93, 8 Au 2.92-3.17, 1 Cu 2.95
Au: 0.0000 0.6715 0.4980  3 In 2.91-2.94, 8 Au 2.92-3.17, 1 Cu 2.95
Au: 0.0000 0.9980 0.1715  3 In 2.91-2.93, 8 Au 2.92-3.17, 1 Cu 2.95
Au: 0.5000 0.8285 0.9980  3 In 2.91-2.94, 8 Au 2.92-3.17, 1 Cu 2.95
Au: 0.5000 0.8503 0.3503  2 Cu 2.79, 4 In 2.91-3.04, 4 Au 2.92
Cu: 0.5000 0.5000 0.0000  8 Au 2.79-2.95, 4 In 3.01
Au: 0.0000 0.3503 0.1497  2 Cu 2.79, 4 In 2.91-3.04, 4 Au 2.92
Au: 0.0000 0.0020 0.8285  3 In 2.91-2.93, 8 Au 2.92-3.17, 1 Cu 2.95
Au: 0.0000 0.6497 0.8503  2 Cu 2.79, 4 In 2.91-3.04, 4 Au 2.92
Au: 0.5000 0.1497 0.6497  2 Cu 2.79, 4 In 2.91-3.04, 4 Au 2.92
Cu: 0.0000 0.0000 0.5000  8 Au 2.79-2.95, 4 In 3.01
In: 0.0000 0.3267 0.8267  10 Au 2.91-3.04, 2 Cu 3.01

=====

Which value of E does entry 4 give? -3.40 eV/atom